The following is a PBE-GGA calculation of a relaxed HoTl2Te3O12 crystal, from Alexandria.

Cell: 7.573 7.573 7.573 Å, 58.54 58.54 58.54°
Element x y z (fractional)
1 O 0.923 0.923 0.355
2 O 0.355 0.923 0.923
3 O 0.645 0.077 0.077
4 O 0.315 0.315 0.921
5 O 0.685 0.685 0.079
6 O 0.921 0.315 0.315
7 O 0.079 0.685 0.685
8 O 0.077 0.077 0.645
9 O 0.923 0.355 0.923
10 O 0.315 0.921 0.315
11 O 0.685 0.079 0.685
12 O 0.077 0.645 0.077
13 Te 0.000 0.000 0.500
14 Te 0.500 0.000 0.000
15 Te 0.000 0.500 0.000
16 Tl 0.645 0.645 0.645
17 Tl 0.355 0.355 0.355
18 Ho 0.000 0.000 0.000

Output
DFT total energy   -5.5808 eV/atom
Raw formation energy   -1.234 eV per atom
Crystal system   trigonal
Space-group type   R-3m, No. 166